A plane-wave DFT calculation with GGA-PBE was carried out for an optimized crystal structure of CaCoMo2Rh.

Output
Symmetry: P4/mmm, No. 123
Energy of formation from the pure elements in eV per formula unit: 12.3

Unit cell a=4.5490 b=4.2353 c=4.5490 alpha=90.00 beta=90.00 gamma=90.00
Fractional positions:
Mo1 0.0000 0.0000 0.5000
Mo2 0.5000 0.0000 0.0000
Ca1 0.0000 0.0000 0.0000
Rh1 0.5000 0.5000 0.5000
Co1 0.0000 0.5000 0.0000

A plane-wave DFT calculation with GGA-PBE was carried out for an optimized crystal structure of CaCoMoS2.

Output
Symmetry: P4/mmm, No. 123
Energy relative to the elements, uncorrected in eV per atom: 0.189

Unit cell a=4.7271 b=4.3906 c=4.7271 alpha=90.00 beta=90.00 gamma=90.00
Last column: magnetic moment on the atom in μB.
Fractional positions:
S1 0.5000 0.0000 0.0000  0.03
Mo1 0.0000 0.5000 0.0000  2.29
Ca1 0.5000 0.5000 0.5000  0.06
Co1 0.0000 0.0000 0.0000  0.06
S2 0.0000 0.0000 0.5000  0.02

A plane-wave DFT calculation with GGA-PBE was carried out for an optimized crystal structure of CaCoTcMo2.

Output
Symmetry: P4/mmm, No. 123
Energy of formation from the pure elements in eV per formula unit: 14.5

Unit cell a=4.5266 b=4.4469 c=4.5266 alpha=90.00 beta=90.00 gamma=90.00
Fractional positions:
Ca1 0.0000 0.0000 0.0000
Co1 0.5000 0.5000 0.5000
Mo1 0.0000 0.0000 0.5000
Tc1 0.0000 0.5000 0.0000
Mo2 0.5000 0.0000 0.0000

Copy entry 3 word for word.
A plane-wave DFT calculation with GGA-PBE was carried out for an optimized crystal structure of CaCoTcMo2.

Output
Symmetry: P4/mmm, No. 123
Energy of formation from the pure elements in eV per formula unit: 14.5

Unit cell a=4.5266 b=4.4469 c=4.5266 alpha=90.00 beta=90.00 gamma=90.00
Fractional positions:
Ca1 0.0000 0.0000 0.0000
Co1 0.5000 0.5000 0.5000
Mo1 0.0000 0.0000 0.5000
Tc1 0.0000 0.5000 0.0000
Mo2 0.5000 0.0000 0.0000

What did the first record say?
A plane-wave DFT calculation with GGA-PBE was carried out for an optimized crystal structure of CaCoMo2Rh.

Output
Symmetry: P4/mmm, No. 123
Energy of formation from the pure elements in eV per formula unit: 12.3

Unit cell a=4.5490 b=4.2353 c=4.5490 alpha=90.00 beta=90.00 gamma=90.00
Fractional positions:
Mo1 0.0000 0.0000 0.5000
Mo2 0.5000 0.0000 0.0000
Ca1 0.0000 0.0000 0.0000
Rh1 0.5000 0.5000 0.5000
Co1 0.0000 0.5000 0.0000